(1)
VASP calculation (PBE) on a relaxed structure of SrLi2Os.

Lattice parameters (Å, degrees): 3.3391 3.3391 7.6875 90.00 90.00 90.08
Last column: magnetic moment on the atom in μB.
Fractional coordinates of all 4 atoms:
Li (0.0000, 0.0000, 0.0923)  0.00
Li (0.5000, 0.5000, 0.2836)  0.00
Os (0.0000, 0.0000, 0.4324)  0.57
Sr (0.5000, 0.5000, 0.6917)  -0.01

As for the space group: P4mm, No. 99. For the formation energy, the calculation gives 550 meV per atom.

(2)
VASP calculation (PBE) on a relaxed structure of AgTe2AsN.

Lattice parameters (Å, degrees): 5.7421 5.7421 3.5654 90.00 90.00 90.00
Fractional coordinates of all 5 atoms:
As (0.0000, 0.0000, 0.0000)
Te (0.0000, 0.5000, 0.0000)
Te (0.5000, 0.0000, 0.0000)
Ag (0.5000, 0.5000, 0.5000)
N (0.0000, 0.0000, 0.5000)

The total energy is -3.647 eV/atom. As for the space group: P4/mmm, No. 123.

(3)
VASP calculation (PBE) on a relaxed structure of TbYCoGe.

Lattice parameters (Å, degrees): 4.9300 4.9300 4.9300 60.00 60.00 60.00
Last column: magnetic moment on the atom in μB.
Fractional coordinates of all 4 atoms:
Y (0.7500, 0.7500, 0.7500)  -0.15
Co (0.5000, 0.5000, 0.5000)  1.21
Ge (0.0000, 0.0000, 0.0000)  0.08
Tb (0.2500, 0.2500, 0.2500)  -0.19

As for the space group: F-43m, No. 216. For the formation energy, the calculation gives -397 meV per atom.

(4)
VASP calculation (PBE) on a relaxed structure of Cd2Re2Se.

Lattice parameters (Å, degrees): 3.7765 3.7765 7.3774 75.17 75.17 90.00
Fractional coordinates of all 5 atoms:
Re (0.4156, 0.4156, 0.1688)
Re (0.5844, 0.5844, 0.8312)
Se (0.0000, 0.0000, 0.0000)
Cd (0.7500, 0.2500, 0.5000)
Cd (0.2500, 0.7500, 0.5000)

The total energy is -4.893 eV/atom. As for the space group: I4/mmm, No. 139.

(5)
VASP calculation (PBE) on a relaxed structure of Ac3Zn4Pt2.

Lattice parameters (Å, degrees): 4.5153 6.1855 9.3883 66.43 76.09 68.59
Fractional coordinates of all 9 atoms:
Ac (0.3254, 0.6909, 0.6582)
Ac (0.0000, 0.0000, 0.0000)
Ac (0.6746, 0.3091, 0.3418)
Zn (0.2765, 0.3909, 0.0560)
Zn (0.7235, 0.6091, 0.9440)
Zn (0.0458, 0.2903, 0.6182)
Zn (0.9542, 0.7097, 0.3818)
Pt (0.3905, 0.9442, 0.2748)
Pt (0.6095, 0.0558, 0.7252)

As for the space group: C2/m, No. 12. For the formation energy, the calculation gives -688 meV per atom.

(6)
VASP calculation (PBE) on a relaxed structure of KAl2Tc.

Lattice parameters (Å, degrees): 6.1250 6.1250 6.1250 150.91 122.85 65.39
Fractional coordinates of all 4 atoms:
K (0.2500, 0.7500, 0.5000)
Tc (0.7500, 0.2500, 0.5000)
Al (0.9385, 0.9385, 0.0000)
Al (0.5615, 0.5615, 0.0000)

As for the space group: Immm, No. 71. For the formation energy, the calculation gives 624 meV per atom.

Going through the records in order, we get density of states at the Fermi level values of 4.26 4.33 1.87 5.53 4.91 2.68 states/eV per cell.